# 1
Below is a geometry-optimized ErScPt2 structure, with properties calculated at the PBE level.

Output
For the formation energy, the calculation gives -1.238 eV per atom. The calculation puts the energy relative to the lowest polymorph listed for this composition at 4 meV/atom.

abc: 3.6317 4.3769 5.4494
angles: 90.00 109.53 90.00
Closest atoms and distances in Å follow each position.
Atoms (fractional coordinates):
Sc: 0.7211 0.0000 0.9813  7 Pt 2.81-2.95
Pt: 0.1725 0.5000 0.8833  3 Er 2.78-2.97, 2 Pt 2.85, 4 Sc 2.89
Pt: 0.9944 0.0000 0.5282  3 Sc 2.81-2.95, 2 Pt 2.85, 4 Er 2.89
Er: 0.4430 0.5000 0.4252  7 Pt 2.78-2.97


# 2
Below is a geometry-optimized TiCr2Os2 structure, with properties calculated at the PBE level.

Output
For the formation energy, the calculation gives 0.065 eV per atom. The calculation puts the energy relative to the lowest polymorph listed for this composition at 0 meV/atom.

abc: 7.1606 7.1606 2.7619
angles: 90.00 90.00 90.00
Closest atoms and distances in Å follow each position.
Atoms (fractional coordinates):
Ti: 0.0000 0.0000 0.0000  4 Cr 2.74, 2 Ti 2.76, 8 Os 3.05
Ti: 0.5000 0.5000 0.0000  4 Cr 2.74, 2 Ti 2.76, 8 Os 3.05
Os: 0.3489 0.1511 0.5000  6 Cr 2.47-2.54, 2 Os 2.76
Os: 0.6511 0.8489 0.5000  6 Cr 2.47-2.54, 2 Os 2.76
Os: 0.8489 0.3489 0.5000  6 Cr 2.47-2.54, 2 Os 2.76
Os: 0.1511 0.6511 0.5000  6 Cr 2.47-2.54, 2 Os 2.76
Cr: 0.6471 0.1471 0.0000  6 Os 2.47-2.54, 2 Ti 2.74, 2 Cr 2.76
Cr: 0.3529 0.8529 0.0000  6 Os 2.47-2.54, 2 Ti 2.74, 2 Cr 2.76
Cr: 0.1471 0.3529 0.0000  6 Os 2.47-2.54, 2 Ti 2.74, 2 Cr 2.76
Cr: 0.8529 0.6471 0.0000  6 Os 2.47-2.54, 2 Ti 2.74, 2 Cr 2.76


# 3
Below is a geometry-optimized NdSnRh structure, with properties calculated at the PBE level.

Output
For the formation energy, the calculation gives -0.819 eV per atom.

abc: 4.3883 7.4702 12.4884
angles: 89.00 90.00 90.00
Closest atoms and distances in Å follow each position.
Atoms (fractional coordinates):
Rh: 0.7500 0.7692 0.5762  4 Sn 2.72-2.90
Rh: 0.7500 0.2666 0.7551  3 Sn 2.71-2.78
Rh: 0.2500 0.7680 0.9093  5 Sn 2.81-2.84, 2 Nd 2.88-3.12
Rh: 0.7500 0.2320 0.0907  5 Sn 2.81-2.84, 2 Nd 2.88-3.12
Rh: 0.2500 0.7334 0.2449  3 Sn 2.71-2.78
Rh: 0.2500 0.2308 0.4238  4 Sn 2.72-2.90
Nd: 0.2500 0.9633 0.7083  5 Rh 2.88-3.21
Nd: 0.2500 0.3508 0.9190  5 Rh 3.07-3.18, 5 Sn 3.36-3.41
Nd: 0.7500 0.5315 0.3760  5 Rh 3.09-3.19, 4 Sn 3.29-3.37
Nd: 0.2500 0.4685 0.6240  5 Rh 3.09-3.19, 4 Sn 3.29-3.37
Nd: 0.7500 0.0367 0.2917  5 Rh 2.88-3.21
Nd: 0.7500 0.6492 0.0810  5 Rh 3.07-3.18, 5 Sn 3.36-3.41
Sn: 0.2500 0.3672 0.2071  4 Rh 2.78-2.87
Sn: 0.2500 0.8449 0.4551  4 Rh 2.72-2.90
Sn: 0.7500 0.6328 0.7929  4 Rh 2.78-2.87
Sn: 0.2500 0.9899 0.0887  4 Rh 2.71-2.84
Sn: 0.7500 0.1551 0.5449  4 Rh 2.72-2.90
Sn: 0.7500 0.0101 0.9113  4 Rh 2.71-2.84


# 4
Below is a geometry-optimized CdMo2W4 structure, with properties calculated at the PBE level.

Output
For the formation energy, the calculation gives 2.347 eV per atom.

abc: 4.7749 4.7749 7.2953
angles: 70.90 70.90 90.00
Closest atoms and distances in Å follow each position.
Atoms (fractional coordinates):
W: 0.5000 0.0000 0.0000  2 Cd 2.39
W: 0.7959 0.7959 0.4082  1 Mo 2.38, 1 Cd 2.64
W: 0.0000 0.5000 0.0000  2 Cd 2.39
W: 0.2041 0.2041 0.5918  1 Mo 2.38, 1 Cd 2.64
Mo: 0.6121 0.6121 0.7758  1 W 2.38
Mo: 0.3879 0.3879 0.2242  1 W 2.38
Cd: 0.0000 0.0000 0.0000  6 W 2.39-2.64


# 5
Below is a geometry-optimized Cs2PaAlS5 structure, with properties calculated at the PBE level.

Output
The uncorrected formation energy comes out at -1.376 eV/atom.

abc: 4.0989 10.0771 15.2082
angles: 90.00 90.00 101.73
Closest atoms and distances in Å follow each position.
Atoms (fractional coordinates):
Cs: 0.1071 0.2142 0.6747  4 S 3.44-3.54
Cs: 0.1265 0.2531 0.3280  6 S 3.41-3.80
Cs: 0.8929 0.7858 0.1747  4 S 3.44-3.54
Cs: 0.8735 0.7469 0.8280  6 S 3.41-3.80
Pa: 0.2008 0.4015 0.0277  3 S 2.45-2.66
Pa: 0.7992 0.5985 0.5277  3 S 2.45-2.66
S: 0.3132 0.6263 0.4069  1 Al 2.33
S: 0.5108 0.0216 0.8066  1 Al 2.13
S: 0.3241 0.6482 0.0075  1 Pa 2.45
S: 0.6972 0.3943 0.1386  2 Pa 2.66
S: 0.3028 0.6057 0.6386  2 Pa 2.66
S: 0.0612 0.1223 0.0099  2 Al 2.44
S: 0.9388 0.8777 0.5099  2 Al 2.44
S: 0.6868 0.3737 0.9069  1 Al 2.33
S: 0.6759 0.3518 0.5075  1 Pa 2.45
S: 0.4892 0.9784 0.3066  1 Al 2.13
Al: 0.5697 0.1395 0.9240  2 S 2.13-2.33
Al: 0.4303 0.8605 0.4240  2 S 2.13-2.33